Computed, not measured: an optimized crystal structure of Na4SbH at the PBE-GGA level of DFT.

abc: 7.348 7.348 5.913
angles: 99.15 99.15 109.30
Positions (direct):
Na  0.025  0.759  0.958
Na  0.219  0.414  0.653
Na  0.241  0.975  0.542
Na  0.414  0.219  0.153
Na  0.586  0.781  0.847
Na  0.759  0.025  0.458
Na  0.781  0.586  0.347
Na  0.975  0.241  0.042
Sb  0.349  0.651  0.250
Sb  0.651  0.349  0.750
H  0.010  0.990  0.750
H  0.990  0.010  0.250

Calculated values
**Calculated total energy**: -2.390 eV/atom
**Space group**: C2/c (15)

Computed, not measured: an optimized crystal structure of Nd2Ho2Se2S3 at the PBE-GGA level of DFT.

abc: 8.467 8.467 8.467
angles: 142.97 142.97 53.37
Positions (direct):
Nd  0.200  0.200  0.000
Nd  0.800  0.800  0.000
Ho  0.000  0.500  0.500
Ho  0.500  0.000  0.500
Se  0.398  0.398  0.000
Se  0.602  0.602  0.000
S  0.000  0.000  0.000
S  0.250  0.750  0.500
S  0.750  0.250  0.500

Calculated values
**Space group**: I4/mmm (139)
**Formation energy without anion corrections**: -1666 meV per atom

Computed, not measured: an optimized crystal structure of CeMg2CoAu at the PBE-GGA level of DFT.

abc: 4.871 4.871 4.872
angles: 90.00 90.00 90.00
Positions (direct):
Ce  0.000  0.000  0.000
Mg  0.000  0.500  0.480
Mg  0.500  0.000  0.480
Co  0.000  0.000  0.563
Au  0.500  0.500  0.127

Calculated values
**Space group**: P4mm (99)
**Formation energy from the elements**: -0.200 eV per atom

Copy entry 1 word for word.
Computed, not measured: an optimized crystal structure of Na4SbH at the PBE-GGA level of DFT.

abc: 7.348 7.348 5.913
angles: 99.15 99.15 109.30
Positions (direct):
Na  0.025  0.759  0.958
Na  0.219  0.414  0.653
Na  0.241  0.975  0.542
Na  0.414  0.219  0.153
Na  0.586  0.781  0.847
Na  0.759  0.025  0.458
Na  0.781  0.586  0.347
Na  0.975  0.241  0.042
Sb  0.349  0.651  0.250
Sb  0.651  0.349  0.750
H  0.010  0.990  0.750
H  0.990  0.010  0.250

Calculated values
**Calculated total energy**: -2.390 eV/atom
**Space group**: C2/c (15)

Copy entry 1 word for word.
Computed, not measured: an optimized crystal structure of Na4SbH at the PBE-GGA level of DFT.

abc: 7.348 7.348 5.913
angles: 99.15 99.15 109.30
Positions (direct):
Na  0.025  0.759  0.958
Na  0.219  0.414  0.653
Na  0.241  0.975  0.542
Na  0.414  0.219  0.153
Na  0.586  0.781  0.847
Na  0.759  0.025  0.458
Na  0.781  0.586  0.347
Na  0.975  0.241  0.042
Sb  0.349  0.651  0.250
Sb  0.651  0.349  0.750
H  0.010  0.990  0.750
H  0.990  0.010  0.250

Calculated values
**Calculated total energy**: -2.390 eV/atom
**Space group**: C2/c (15)